Here is a geometry-optimized PClF2 structure from Alexandria via LeMat-Bulk. Energies are from GGA-PBE.

Cell lengths 5.292, 5.292, 5.292 Å; angles 118.85, 111.32, 98.86 degrees
Atoms (fractional coordinates):
P1 0.000 0.000 0.000
Cl1 0.373 0.373 0.000
F1 0.850 0.075 0.224
F2 0.850 0.626 0.776

ΔE_f (raw): -1.17 eV/atom